Entry 1:
# Ru3NO GGA-PBE optimized geometry
data_Ru3NO
_chemical_formula_sum 'Ru3 N1 O1'
_cell_length_a 3.996
_cell_length_b 3.996
_cell_length_c 3.996
_cell_angle_alpha 90.00
_cell_angle_beta 90.00
_cell_angle_gamma 90.00
_space_group_name_H-M_alt 'P m -3 m'
_space_group_IT_number 221
_space_group_name_Hall '-P 4 2 3'
loop_
_atom_site_label
_atom_site_type_symbol
_atom_site_fract_x
_atom_site_fract_y
_atom_site_fract_z
Ru1 Ru 0.000 0.000 0.500
N1 N 0.000 0.000 0.000
O1 O 0.500 0.500 0.500
# Spin magnetization: 3.35 Bohr magnetons per cell
# Excess energy over the best structure of this formula in the dataset: 0.00 eV/f.u.

***

Entry 2:
# Te2RhBr GGA-PBE optimized geometry
data_Te2RhBr
_chemical_formula_sum 'Te4 Rh2 Br2'
_cell_length_a 9.973
_cell_length_b 3.659
_cell_length_c 7.262
_cell_angle_alpha 90.00
_cell_angle_beta 115.62
_cell_angle_gamma 90.00
_space_group_name_H-M_alt 'C 1 m 1'
_space_group_IT_number 8
loop_
_space_group_symop_operation_xyz
'x,y,z'
'x,-y,z'
'x+1/2,y+1/2,z'
'x+1/2,-y+1/2,z'
loop_
_atom_site_label
_atom_site_type_symbol
_atom_site_fract_x
_atom_site_fract_y
_atom_site_fract_z
Te1 Te 0.000 0.000 0.000
Te2 Te 0.210 0.000 0.804
Rh1 Rh 0.462 0.000 0.723
Br1 Br 0.346 0.500 0.435
# Spin magnetization: 0.00 Bohr magnetons per cell
# Total energy: -31.74 eV for the cell shown

***

Entry 3:
# NaAl2Pt5 GGA-PBE optimized geometry
data_NaAl2Pt5
_chemical_formula_sum 'Na2 Al4 Pt10'
_cell_length_a 3.782
_cell_length_b 7.267
_cell_length_c 10.050
_cell_angle_alpha 90.00
_cell_angle_beta 90.00
_cell_angle_gamma 90.00
_space_group_name_H-M_alt 'I m m m'
_space_group_IT_number 71
_space_group_name_Hall '-I 2 2'
loop_
_atom_site_label
_atom_site_type_symbol
_atom_site_fract_x
_atom_site_fract_y
_atom_site_fract_z
Na1 Na 0.000 0.000 0.000
Al1 Al 0.000 0.500 0.247
Pt1 Pt 0.000 0.197 0.353
Pt2 Pt 0.000 0.500 0.000
# Spin magnetization: 0.00 Bohr magnetons per cell
# Formation enthalpy at 0 K: -636.7 meV per atom

***

Entry 4:
# UGaNi6 GGA-PBE optimized geometry
data_UGaNi6
_chemical_formula_sum 'U1 Ga1 Ni6'
_cell_length_a 3.759
_cell_length_b 3.759
_cell_length_c 7.200
_cell_angle_alpha 90.00
_cell_angle_beta 90.00
_cell_angle_gamma 90.00
_space_group_name_H-M_alt 'P 4/m m m'
_space_group_IT_number 123
_space_group_name_Hall '-P 4 2'
loop_
_atom_site_label
_atom_site_type_symbol
_atom_site_fract_x
_atom_site_fract_y
_atom_site_fract_z
U1 U 0.000 0.000 0.000
Ga1 Ga 0.000 0.000 0.500
Ni1 Ni 0.000 0.500 0.258
Ni2 Ni 0.500 0.500 0.000
Ni3 Ni 0.500 0.500 0.500
# Spin magnetization: 0.66 Bohr magnetons per cell
# Excess energy over the best structure of this formula in the dataset: 0.00 eV/f.u.
# Formation enthalpy at 0 K: -262.1 meV per atom

***

Entry 5:
# CeTmHfSc GGA-PBE optimized geometry
data_CeTmHfSc
_chemical_formula_sum 'Ce4 Tm4 Hf4 Sc4'
_cell_length_a 7.495
_cell_length_b 7.495
_cell_length_c 7.495
_cell_angle_alpha 90.00
_cell_angle_beta 90.00
_cell_angle_gamma 90.00
_space_group_name_H-M_alt 'F -4 3 m'
_space_group_IT_number 216
_space_group_name_Hall 'F -4 2 3'
loop_
_atom_site_label
_atom_site_type_symbol
_atom_site_fract_x
_atom_site_fract_y
_atom_site_fract_z
Ce1 Ce 0.000 0.000 0.000
Tm1 Tm 0.250 0.250 0.750
Hf1 Hf 0.250 0.250 0.250
Sc1 Sc 0.000 0.000 0.500
# Spin magnetization: 7.28 Bohr magnetons per cell
# Formation enthalpy at 0 K: 233.5 meV per atom

***

Entry 6:
# Li2Pm2PrTl2 GGA-PBE optimized geometry
data_Li2Pm2PrTl2
_chemical_formula_sum 'Li6 Pm6 Pr3 Tl6'
_cell_length_a 4.9397
_cell_length_b 4.9397
_cell_length_c 27.3293
_cell_angle_alpha 90.00
_cell_angle_beta 90.00
_cell_angle_gamma 120.00
_space_group_name_H-M_alt 'R -3 m'
_space_group_IT_number 166
_space_group_name_Hall '-R 3 2"'
loop_
_atom_site_label
_atom_site_type_symbol
_atom_site_fract_x
_atom_site_fract_y
_atom_site_fract_z
Li1 Li 0.0000 0.0000 0.1018
Pm1 Pm 0.0000 0.0000 0.3727
Pr1 Pr 0.0000 0.0000 0.5000
Tl1 Tl 0.0000 0.0000 0.2382
# Spin magnetization: 0.00 Bohr magnetons per cell
# Formation enthalpy at 0 K: -203.8 meV per atom

***

Entry 7:
# TaAsBr2N GGA-PBE optimized geometry
data_TaAsBr2N
_chemical_formula_sum 'Ta1 As1 Br2 N1'
_cell_length_a 5.205
_cell_length_b 5.205
_cell_length_c 5.013
_cell_angle_alpha 90.00
_cell_angle_beta 90.00
_cell_angle_gamma 90.00
_space_group_name_H-M_alt 'P 4/m m m'
_space_group_IT_number 123
_space_group_name_Hall '-P 4 2'
loop_
_atom_site_label
_atom_site_type_symbol
_atom_site_fract_x
_atom_site_fract_y
_atom_site_fract_z
Ta1 Ta 0.000 0.000 0.000
As1 As 0.000 0.000 0.500
Br1 Br 0.000 0.500 0.000
N1 N 0.500 0.500 0.500
# Spin magnetization: 2.78 Bohr magnetons per cell
# Excess energy over the best structure of this formula in the dataset: 0.00 eV/f.u.

***

Entry 8:
# LiAc2Ga3Au12 GGA-PBE optimized geometry
data_LiAc2Ga3Au12
_chemical_formula_sum 'Li3 Ac6 Ga9 Au36'
_cell_length_a 9.0134
_cell_length_b 9.0134
_cell_length_c 18.8809
_cell_angle_alpha 90.00
_cell_angle_beta 90.00
_cell_angle_gamma 120.00
_space_group_name_H-M_alt 'R -3 m'
_space_group_IT_number 166
_space_group_name_Hall '-R 3 2"'
loop_
_atom_site_label
_atom_site_type_symbol
_atom_site_fract_x
_atom_site_fract_y
_atom_site_fract_z
Li1 Li 0.0000 0.0000 0.0000
Ac1 Ac 0.0000 0.0000 0.3865
Ga1 Ga 0.0000 0.5000 0.5000
Au1 Au 0.0059 0.5029 0.6359
Au2 Au 0.0139 0.5069 0.8497
# Spin magnetization: 0.00 Bohr magnetons per cell
# Formation enthalpy at 0 K: -225.6 meV per atom

***

Entry 9:
# LiCdCu2F8 GGA-PBE optimized geometry
data_LiCdCu2F8
_chemical_formula_sum 'Li2 Cd2 Cu4 F16'
_cell_length_a 5.362
_cell_length_b 5.362
_cell_length_c 10.294
_cell_angle_alpha 90.00
_cell_angle_beta 90.00
_cell_angle_gamma 90.00
_space_group_name_H-M_alt 'I -4'
_space_group_IT_number 82
loop_
_space_group_symop_operation_xyz
'x,y,z'
'y,-x,-z'
'-x,-y,z'
'-y,x,-z'
'x+1/2,y+1/2,z+1/2'
'y+1/2,-x+1/2,-z+1/2'
'-x+1/2,-y+1/2,z+1/2'
'-y+1/2,x+1/2,-z+1/2'
loop_
_atom_site_label
_atom_site_type_symbol
_atom_site_fract_x
_atom_site_fract_y
_atom_site_fract_z
Li1 Li 0.000 0.000 0.000
Cd1 Cd 0.000 0.500 0.750
Cu1 Cu 0.000 0.000 0.500
Cu2 Cu 0.000 0.500 0.250
F1 F 0.140 0.808 0.217
F2 F 0.160 0.299 0.532
# Spin magnetization: 2.01 Bohr magnetons per cell
# Total energy: -94.76 eV for the cell shown

***

Entry 10:
# Sr3InO GGA-PBE optimized geometry
data_Sr3InO
_chemical_formula_sum 'Sr6 In2 O2'
_cell_length_a 9.413
_cell_length_b 4.005
_cell_length_c 9.085
_cell_angle_alpha 90.00
_cell_angle_beta 90.00
_cell_angle_gamma 90.00
_space_group_name_H-M_alt 'P m m a'
_space_group_IT_number 51
loop_
_space_group_symop_operation_xyz
'x,y,z'
'-x,-y,-z'
'-x+1/2,-y,z'
'x+1/2,y,-z'
'x+1/2,-y,-z'
'-x+1/2,y,z'
'-x,y,-z'
'x,-y,z'
loop_
_atom_site_label
_atom_site_type_symbol
_atom_site_fract_x
_atom_site_fract_y
_atom_site_fract_z
Sr1 Sr 0.053 0.000 0.197
Sr2 Sr 0.250 0.500 0.510
In1 In 0.250 0.500 0.910
O1 O 0.250 0.000 0.362
# Spin magnetization: 0.00 Bohr magnetons per cell
# Total energy: -37.56 eV for the cell shown

***

Entry 11:
# Rb2CdAg GGA-PBE optimized geometry
data_Rb2CdAg
_chemical_formula_sum 'Rb4 Cd2 Ag2'
_cell_length_a 8.648
_cell_length_b 4.998
_cell_length_c 9.472
_cell_angle_alpha 90.00
_cell_angle_beta 107.84
_cell_angle_gamma 90.00
_space_group_name_H-M_alt 'C 1 m 1'
_space_group_IT_number 8
loop_
_space_group_symop_operation_xyz
'x,y,z'
'x,-y,z'
'x+1/2,y+1/2,z'
'x+1/2,-y+1/2,z'
loop_
_atom_site_label
_atom_site_type_symbol
_atom_site_fract_x
_atom_site_fract_y
_atom_site_fract_z
Rb1 Rb 0.000 0.000 0.000
Rb2 Rb 0.179 0.000 0.535
Cd1 Cd 0.256 0.500 0.267
Ag1 Ag 0.423 0.000 0.267
# Spin magnetization: 0.00 Bohr magnetons per cell
# Formation enthalpy at 0 K: -29.0 meV per atom

***

Entry 12:
# MnAlMoRu GGA-PBE optimized geometry
data_MnAlMoRu
_chemical_formula_sum 'Mn4 Al4 Mo4 Ru4'
_cell_length_a 6.016
_cell_length_b 6.016
_cell_length_c 6.016
_cell_angle_alpha 90.00
_cell_angle_beta 90.00
_cell_angle_gamma 90.00
_space_group_name_H-M_alt 'F -4 3 m'
_space_group_IT_number 216
_space_group_name_Hall 'F -4 2 3'
loop_
_atom_site_label
_atom_site_type_symbol
_atom_site_fract_x
_atom_site_fract_y
_atom_site_fract_z
Mn1 Mn 0.000 0.000 0.000
Al1 Al 0.250 0.250 0.250
Mo1 Mo 0.250 0.250 0.750
Ru1 Ru 0.000 0.000 0.500
# Spin magnetization: 0.00 Bohr magnetons per cell
# Formation enthalpy at 0 K: -261.2 meV per atom

***

Entry 13:
# BaCd2Pd2 GGA-PBE optimized geometry
data_BaCd2Pd2
_chemical_formula_sum 'Ba4 Cd8 Pd8'
_cell_length_a 4.786
_cell_length_b 4.786
_cell_length_c 22.146
_cell_angle_alpha 90.00
_cell_angle_beta 90.00
_cell_angle_gamma 90.00
_space_group_name_H-M_alt 'I 4/m m m'
_space_group_IT_number 139
_space_group_name_Hall '-I 4 2'
loop_
_atom_site_label
_atom_site_type_symbol
_atom_site_fract_x
_atom_site_fract_y
_atom_site_fract_z
Ba1 Ba 0.000 0.000 0.134
Cd1 Cd 0.000 0.000 0.312
Cd2 Cd 0.000 0.500 0.000
Pd1 Pd 0.000 0.000 0.436
Pd2 Pd 0.000 0.500 0.250
# Spin magnetization: 0.00 Bohr magnetons per cell
# Excess energy over the best structure of this formula in the dataset: 0.08 eV/f.u.
# Formation enthalpy at 0 K: -455.6 meV per atom

***

Entry 14:
# Ca2CrCo GGA-PBE optimized geometry
data_Ca2CrCo
_chemical_formula_sum 'Ca4 Cr2 Co2'
_cell_length_a 3.858
_cell_length_b 5.201
_cell_length_c 9.204
_cell_angle_alpha 90.00
_cell_angle_beta 90.00
_cell_angle_gamma 90.00
_space_group_name_H-M_alt 'I m m 2'
_space_group_IT_number 44
loop_
_space_group_symop_operation_xyz
'x,y,z'
'-x,-y,z'
'-x,y,z'
'x,-y,z'
'x+1/2,y+1/2,z+1/2'
'-x+1/2,-y+1/2,z+1/2'
'-x+1/2,y+1/2,z+1/2'
'x+1/2,-y+1/2,z+1/2'
loop_
_atom_site_label
_atom_site_type_symbol
_atom_site_fract_x
_atom_site_fract_y
_atom_site_fract_z
Ca1 Ca 0.000 0.000 0.000
Ca2 Ca 0.000 0.500 0.198
Cr1 Cr 0.000 0.500 0.800
Co1 Co 0.000 0.000 0.412
# Spin magnetization: 5.66 Bohr magnetons per cell
# Excess energy over the best structure of this formula in the dataset: 0.24 eV/f.u.
# Formation enthalpy at 0 K: 445.7 meV per atom

***

Entry 15:
# La2Nd8Dy3 GGA-PBE optimized geometry
data_La2Nd8Dy3
_chemical_formula_sum 'La4 Nd16 Dy6'
_cell_length_a 13.469
_cell_length_b 11.936
_cell_length_c 6.191
_cell_angle_alpha 90.00
_cell_angle_beta 114.03
_cell_angle_gamma 90.00
_space_group_name_H-M_alt 'C 1 2/m 1'
_space_group_IT_number 12
loop_
_space_group_symop_operation_xyz
'x,y,z'
'-x,-y,-z'
'-x,y,-z'
'x,-y,z'
'x+1/2,y+1/2,z'
'-x+1/2,-y+1/2,-z'
'-x+1/2,y+1/2,-z'
'x+1/2,-y+1/2,z'
loop_
_atom_site_label
_atom_site_type_symbol
_atom_site_fract_x
_atom_site_fract_y
_atom_site_fract_z
La1 La 0.192 0.000 0.347
Nd1 Nd 0.084 0.000 0.767
Nd2 Nd 0.139 0.500 0.097
Nd3 Nd 0.163 0.259 0.661
Dy1 Dy 0.000 0.240 0.000
Dy2 Dy 0.000 0.500 0.500
# Spin magnetization: 0.00 Bohr magnetons per cell
# Excess energy over the best structure of this formula in the dataset: 0.00 eV/f.u.
# Formation enthalpy at 0 K: 159.9 meV per atom